Below is a relaxed structure of Tb2Pm7Th2, with properties calculated at the GGA-PBE level.

Properties
**SG**: No. 12
**Energy relative to the elements**: 0.182 eV per atom
**Energy above the lowest structure with this stoichiometry**: 0.0068 eV per atom

abc: 8.176 8.176 6.064
angles: 105.71 105.71 89.79
Fractional positions:
Tb  0.225  0.225  0.098
Tb  0.775  0.775  0.902
Pm  0.000  0.000  0.500
Pm  0.046  0.592  0.326
Pm  0.408  0.954  0.674
Pm  0.427  0.427  0.702
Pm  0.573  0.573  0.298
Pm  0.592  0.046  0.326
Pm  0.954  0.408  0.674
Th  0.214  0.786  0.000
Th  0.786  0.214  0.000

=====

Below is a relaxed structure of Tb2Pm7Th2, with properties calculated at the GGA-PBE level.

Properties
**SG**: No. 12
**Energy relative to the elements**: 0.175 eV per atom
**Energy above the lowest structure with this stoichiometry**: 0.0000 eV per atom

abc: 8.096 8.096 6.167
angles: 105.45 105.45 91.20
Fractional positions:
Tb  0.222  0.778  0.000
Tb  0.778  0.222  0.000
Pm  0.000  0.000  0.500
Pm  0.061  0.587  0.330
Pm  0.235  0.235  0.088
Pm  0.413  0.939  0.670
Pm  0.587  0.061  0.330
Pm  0.765  0.765  0.912
Pm  0.939  0.413  0.670
Th  0.423  0.423  0.696
Th  0.577  0.577  0.304

=====

Below is a relaxed structure of Tb4Pm3Th2, with properties calculated at the GGA-PBE level.

Properties
**SG**: No. 12
**Energy relative to the elements**: 0.035 eV per atom
**Energy above the lowest structure with this stoichiometry**: 0.0000 eV per atom

abc: 8.051 8.051 8.023
angles: 107.38 107.38 36.86
Fractional positions:
Tb  0.055  0.055  0.329
Tb  0.278  0.278  0.673
Tb  0.722  0.722  0.327
Tb  0.945  0.945  0.671
Pm  0.386  0.386  0.325
Pm  0.500  0.500  0.000
Pm  0.614  0.614  0.675
Th  0.169  0.169  0.000
Th  0.831  0.831  0.000

=====

Below is a relaxed structure of Tb4Pm4Th, with properties calculated at the GGA-PBE level.

Properties
**SG**: No. 139
**Energy relative to the elements**: 0.026 eV per atom
**Energy above the lowest structure with this stoichiometry**: 0.0000 eV per atom

abc: 8.058 8.058 8.058
angles: 95.74 95.74 143.11
Fractional positions:
Tb  0.163  0.163  0.326
Tb  0.163  0.837  0.000
Tb  0.837  0.163  0.000
Tb  0.837  0.837  0.674
Pm  0.170  0.500  0.670
Pm  0.500  0.170  0.670
Pm  0.500  0.830  0.330
Pm  0.830  0.500  0.330
Th  0.500  0.500  0.000

=====

- Which value of energy above the lowest structure with this stoichiometry does entry 2 give?
  0.0000 eV per atom

=====

- Which of these has the lowest energy relative to the elements?
  Tb4Pm4Th